An optimized crystal structure of SrAcH4, computed with PBE.

Values from the calculation:
- energy (eV per atom) = -3.756
- mass density (g cm⁻³) = 5.29

Cell: 4.106 4.105 5.932 Å, 90.00 90.00 90.00°
Positions (direct):
Sr 0.001 0.997 0.498
Ac 0.501 0.497 0.998
H 0.501 0.997 0.249
H 0.501 0.997 0.748
H 0.001 0.497 0.748
H 0.001 0.497 0.249